No. 1
Compound: ZrCO3
Source: Alexandria via LeMat-Bulk
Functional: PBE-GGA
Structure: optimized geometry

The density of states at the Fermi level is 2.10 states/eV per cell. The value obtained for the uncorrected formation energy is -0.491 eV per atom.

The structure belongs to space group Pm-3m (No. 221); the cell edges are 3.502, 3.502 and 3.502 Å and the angles 90.00°, 90.00° and 90.00°. The asymmetric unit holds Zr at (0.000, 0.000, 0.000), C at (0.500, 0.500, 0.500) and O at (0.000, 0.500, 0.500).

=====

No. 2
Compound: Zr3CO2
Source: Alexandria via LeMat-Bulk
Functional: PBE-GGA
Structure: optimized geometry

The density of states at the Fermi level is 7.11 states/eV per cell. The value obtained for the uncorrected formation energy is -1.891 eV per atom.

The structure belongs to space group P2_1/c (No. 14); the cell edges are 4.667, 9.803 and 6.642 Å and the angles 90.00°, 90.59° and 90.00°. The asymmetric unit holds Zr at (0.234, 0.078, 0.141), Zr at (0.241, 0.745, 0.129), Zr at (0.253, 0.080, 0.615), C at (0.249, 0.587, 0.871), O at (0.263, 0.248, 0.878) and O at (0.270, 0.579, 0.382).

=====

No. 3
Compound: ZrCO2
Source: Alexandria via LeMat-Bulk
Functional: PBE-GGA
Structure: optimized geometry

The density of states at the Fermi level is 1.19 states/eV per cell. The value obtained for the uncorrected formation energy is 0.511 eV per atom.

The structure belongs to space group R-3m (No. 166, hexagonal axes); the cell edges are 3.0088, 3.0088 and 18.2978 Å and the angles 90.00°, 90.00° and 120.00°. The asymmetric unit holds Zr at (0.0000, 0.0000, 0.0000), C at (0.0000, 0.0000, 0.5000) and O at (0.0000, 0.0000, 0.1111).

=====

No. 4
Compound: Zr4CO2
Source: Alexandria via LeMat-Bulk
Functional: PBE-GGA
Structure: optimized geometry

The density of states at the Fermi level is 36.53 states/eV per cell. The value obtained for the uncorrected formation energy is -1.646 eV per atom.

The structure belongs to space group Fdd2 (No. 43); the cell edges are 10.899, 11.363 and 6.510 Å and the angles 90.00°, 90.00° and 90.00°. The asymmetric unit holds Zr at (0.120, 0.084, 0.000), Zr at (0.123, 0.089, 0.495), C at (0.000, 0.000, 0.251) and O at (0.010, 0.252, 0.001).

=====

Computed total moment (μB per formula unit) in order:
0.00; 0.00; 0.00; 0.00
Computed density (g/cm³) in order:
5.84; 6.94; 4.70; 6.74